The following is a DFT calculation (PBE+U) of an optimized crystal structure of K5VO4.

The structure belongs to space group Pmmn (No. 59, origin choice 2); the cell edges are 8.236, 16.081 and 5.272 Å and the angles 90.00°, 90.00° and 90.00°. The distinct sites, in fractional coordinates, are K at (0.036, 0.121, 0.242), K at (0.250, 0.750, 0.320), V at (0.250, 0.250, 0.726), O at (0.071, 0.250, 0.539) and O at (0.250, 0.161, 0.913).

Its raw total energy is -94.20 eV per cell.